[1]
## ZrRe2Te (PBE)

Data for ZrRe2Te after structural relaxation.

Computed properties:
- size of the total moment (Bohr magnetons per cell) = 0.0
- VASP energy (eV per atom) = -9.00
- raw formation energy (eV per formula unit) = 0.6

a = 3.1453 Å, b = 3.1453 Å, c = 7.6586 Å
α = 90.00°, β = 90.00°, γ = 90.00°
With the nearest neighbours (Å) after each atom.
Fractional positions:
1 Te 0.0000 0.0000 0.4845  4 Re 3.04, 4 Zr 3.14, 4 Te 3.15
2 Zr 0.5000 0.5000 0.7744  4 Re 2.95, 4 Te 3.14, 4 Zr 3.15
3 Re 0.0000 0.0000 0.0274  4 Re 2.64, 4 Zr 2.95
4 Re 0.5000 0.5000 0.2138  4 Re 2.64


[2]
## IrOsSeN2 (PBE)

Data for IrOsSeN2 after structural relaxation.

Computed properties:
- size of the total moment (Bohr magnetons per cell) = 1.3
- distance to the lowest polymorph of the same formula (meV per atom) = 0
- VASP energy (eV per atom) = -6.94
- raw formation energy (eV per formula unit) = 5.5

a = 3.7311 Å, b = 3.7311 Å, c = 5.6793 Å
α = 90.00°, β = 90.00°, γ = 90.00°
With the nearest neighbours (Å) after each atom.
Fractional positions:
1 Se 0.0000 0.0000 0.5000  4 Ir 2.64, 2 Os 2.84
2 Os 0.0000 0.0000 0.0000  4 N 1.87
3 N 0.5000 0.0000 0.0000  2 Os 1.87
4 N 0.0000 0.5000 0.0000  2 Os 1.87
5 Ir 0.5000 0.5000 0.5000  4 Se 2.64


[3]
## PmTl4Cl7 (PBE)

Data for PmTl4Cl7 after structural relaxation.

Computed properties:
- size of the total moment (Bohr magnetons per cell) = 0.0
- VASP energy (eV per atom) = -3.68
- raw formation energy (eV per formula unit) = -17.0

a = 5.3661 Å, b = 7.6254 Å, c = 11.5062 Å
α = 111.58°, β = 103.48°, γ = 90.00°
With the nearest neighbours (Å) after each atom.
Fractional positions:
1 Tl 0.5872 0.5437 0.1744  1 Cl 2.89
2 Tl 0.6996 0.1542 0.3991  3 Cl 3.05-3.14
3 Tl 0.3004 0.8458 0.6009  3 Cl 3.05-3.14
4 Tl 0.4128 0.4563 0.8256  1 Cl 2.89
5 Cl 0.0763 0.7958 0.1526  1 Pm 2.71
6 Cl 0.1091 0.3211 0.2183  1 Pm 2.73
7 Cl 0.9237 0.2042 0.8474  1 Pm 2.71
8 Cl 0.7226 0.7852 0.4452  4 Tl 2.89-3.14
9 Cl 0.8909 0.6789 0.7817  1 Pm 2.73
10 Cl 0.2774 0.2148 0.5548  4 Tl 2.89-3.14
11 Cl 0.5000 0.0000 0.0000  2 Pm 2.68
12 Pm 0.0000 0.0000 0.0000  6 Cl 2.68-2.73


[4]
## SmTmCI (PBE)

Data for SmTmCI after structural relaxation.

Computed properties:
- size of the total moment (Bohr magnetons per cell) = 0.0
- VASP energy (eV per atom) = -5.72
- raw formation energy (eV per formula unit) = -2.9

a = 3.7741 Å, b = 3.7741 Å, c = 7.7803 Å
α = 90.00°, β = 104.04°, γ = 120.00°
With the nearest neighbours (Å) after each atom.
Fractional positions:
1 Tm 0.0818 0.9388 0.0360  3 C 2.45
2 C 0.3143 0.5550 0.8847  3 Tm 2.45, 3 Sm 2.60
3 I 0.9611 0.3787 0.3548  3 Tm 3.23, 3 Sm 3.34
4 Sm 0.5207 0.1583 0.6942  3 C 2.60


[5]
## Sc2ZnTc (PBE)

Data for Sc2ZnTc after structural relaxation.

Computed properties:
- size of the total moment (Bohr magnetons per cell) = 0.0
- ΔE_f (meV/atom) = -176
- VASP energy (eV per atom) = -6.25

a = 5.2947 Å, b = 5.2947 Å, c = 4.5203 Å
α = 69.09°, β = 69.09°, γ = 37.95°
With the nearest neighbours (Å) after each atom.
Fractional positions:
1 Tc 0.5139 0.5139 0.5095  2 Zn 2.67, 6 Sc 2.85-2.87
2 Zn 0.2306 0.2306 0.2471  2 Tc 2.67, 7 Sc 2.85-2.95
3 Sc 0.7668 0.7668 0.7140  4 Zn 2.85-2.87, 3 Tc 2.87-3.01, 4 Sc 3.05-3.12
4 Sc 0.9887 0.9887 0.0293  4 Tc 2.85-2.86, 3 Zn 2.94-2.95, 4 Sc 3.05-3.12


[6]
## NaCa2PuS4 (PBE)

Data for NaCa2PuS4 after structural relaxation.

Computed properties:
- size of the total moment (Bohr magnetons per cell) = 5.0
- VASP energy (eV per atom) = -6.32
- raw formation energy (eV per formula unit) = -14.4

a = 4.0578 Å, b = 6.9495 Å, c = 6.9524 Å
α = 108.82°, β = 90.00°, γ = 90.00°
With the nearest neighbours (Å) after each atom.
Fractional positions:
1 S 0.0000 0.7616 0.2532  1 Pu 2.78, 3 Ca 2.82-2.87, 2 Na 2.91
2 S 0.0000 0.2384 0.7468  1 Pu 2.78, 3 Ca 2.82-2.87, 2 Na 2.91
3 S 0.5000 0.2410 0.2440  3 Ca 2.81-2.91, 2 Pu 2.82, 1 Na 2.84
4 S 0.5000 0.7590 0.7560  3 Ca 2.81-2.91, 2 Pu 2.82, 1 Na 2.84
5 Na 0.5000 0.5000 0.0000  6 S 2.84-2.91
6 Pu 0.0000 0.0000 0.0000  6 S 2.78-2.82
7 Ca 0.5000 0.0000 0.5000  6 S 2.81-2.82
8 Ca 0.0000 0.5000 0.5000  6 S 2.87-2.91


[7]
## HoErPb (PBE)

Data for HoErPb after structural relaxation.

Computed properties:
- size of the total moment (Bohr magnetons per cell) = 0.0
- distance to the lowest polymorph of the same formula (meV per atom) = 247
- ΔE_f (meV/atom) = -10
- VASP energy (eV per atom) = -4.29

a = 4.9767 Å, b = 4.9767 Å, c = 7.5808 Å
α = 90.00°, β = 90.00°, γ = 90.00°
With the nearest neighbours (Å) after each atom.
Fractional positions:
1 Er 0.0000 0.5000 0.2735  4 Pb 3.24, 5 Ho 3.40-3.52
2 Er 0.5000 0.0000 0.7265  4 Pb 3.24, 5 Ho 3.40-3.52
3 Pb 0.0000 0.0000 0.0000  4 Er 3.24, 4 Ho 3.26, 4 Pb 3.52
4 Pb 0.5000 0.5000 0.0000  4 Er 3.24, 4 Ho 3.26, 4 Pb 3.52
5 Ho 0.0000 0.5000 0.7213  4 Pb 3.26, 5 Er 3.40-3.52
6 Ho 0.5000 0.0000 0.2787  4 Pb 3.26, 5 Er 3.40-3.52


[8]
## Sc2ZnPb (PBE)

Data for Sc2ZnPb after structural relaxation.

Computed properties:
- size of the total moment (Bohr magnetons per cell) = 0.0
- ΔE_f (meV/atom) = -209
- VASP energy (eV per atom) = -4.62

a = 9.1075 Å, b = 9.1075 Å, c = 9.1075 Å
α = 21.94°, β = 21.94°, γ = 21.94°
With the nearest neighbours (Å) after each atom.
Fractional positions:
1 Zn 0.7500 0.7500 0.7500  6 Sc 2.84
2 Sc 0.4924 0.4924 0.4924  3 Zn 2.84, 3 Pb 3.14
3 Sc 0.0076 0.0076 0.0076  3 Zn 2.84, 3 Pb 3.14
4 Pb 0.2500 0.2500 0.2500  6 Sc 3.14, 6 Pb 3.47


[9]
## Ce3MnHg (PBE)

Data for Ce3MnHg after structural relaxation.

Computed properties:
- size of the total moment (Bohr magnetons per cell) = 0.7
- distance to the lowest polymorph of the same formula (meV per atom) = 0
- ΔE_f (meV/atom) = -91
- VASP energy (eV per atom) = -5.55

a = 5.0410 Å, b = 5.0410 Å, c = 5.0410 Å
α = 90.00°, β = 90.00°, γ = 90.00°
With the nearest neighbours (Å) after each atom.
Fractional positions:
1 Mn 0.0000 0.0000 0.0000  6 Ce 2.52
2 Ce 0.5000 0.0000 0.0000  2 Mn 2.52
3 Ce 0.0000 0.0000 0.5000  2 Mn 2.52
4 Ce 0.0000 0.5000 0.0000  2 Mn 2.52
5 Hg 0.5000 0.5000 0.5000  12 Ce 3.56


[10]
## CsC2S2 (PBE)

Data for CsC2S2 after structural relaxation.

Computed properties:
- size of the total moment (Bohr magnetons per cell) = 0.4
- distance to the lowest polymorph of the same formula (meV per atom) = 0
- VASP energy (eV per atom) = -4.55
- raw formation energy (eV per formula unit) = 4.8

a = 7.6051 Å, b = 7.6051 Å, c = 4.4450 Å
α = 90.00°, β = 90.00°, γ = 90.00°
With the nearest neighbours (Å) after each atom.
Fractional positions:
1 S 0.0935 0.5935 0.5000  1 S 2.01
2 S 0.9065 0.4065 0.5000  1 S 2.01
3 S 0.4065 0.0935 0.5000  1 S 2.01
4 S 0.5935 0.9065 0.5000  1 S 2.01
5 Cs 0.0000 0.0000 0.0000  4 C 3.36
6 Cs 0.5000 0.5000 0.0000  4 C 3.36
7 C 0.9378 0.5622 0.0000  1 C 1.34
8 C 0.5622 0.0622 0.0000  1 C 1.34
9 C 0.0622 0.4378 0.0000  1 C 1.34
10 C 0.4378 0.9378 0.0000  1 C 1.34


[11]
## Ca2P7Ir12 (PBE)

Data for Ca2P7Ir12 after structural relaxation.

Computed properties:
- size of the total moment (Bohr magnetons per cell) = 0.0
- distance to the lowest polymorph of the same formula (meV per atom) = 22
- ΔE_f (meV/atom) = -571
- VASP energy (eV per atom) = -7.63

a = 3.9102 Å, b = 9.6657 Å, c = 9.6657 Å
α = 120.00°, β = 90.00°, γ = 90.00°
With the nearest neighbours (Å) after each atom.
Fractional positions:
1 Ir 0.0000 0.7849 0.7312  4 P 2.32-2.60
2 Ir 0.0000 0.4920 0.9336  4 P 2.25-2.52
3 Ir 0.0000 0.9464 0.2151  4 P 2.32-2.60
4 Ir 0.0000 0.0664 0.5584  4 P 2.25-2.52
5 Ir 0.5000 0.6032 0.7790  3 P 2.36-2.48
6 Ir 0.5000 0.2210 0.8242  3 P 2.36-2.48
7 Ir 0.5000 0.1758 0.3968  3 P 2.36-2.48
8 Ir 0.0000 0.2688 0.0536  4 P 2.32-2.60
9 Ir 0.5000 0.8817 0.5979  2 P 2.31-2.34
10 Ir 0.5000 0.4021 0.2838  2 P 2.31-2.34
11 Ir 0.5000 0.7162 0.1183  2 P 2.31-2.34
12 Ir 0.0000 0.4416 0.5080  4 P 2.25-2.52
13 P 0.0000 0.2065 0.2565  5 Ir 2.32-2.48
14 P 0.0000 0.3333 0.6667  3 Ir 2.25
15 P 0.0000 0.7435 0.9499  5 Ir 2.32-2.48
16 P 0.0000 0.0501 0.7935  5 Ir 2.32-2.48
17 P 0.5000 0.9239 0.3795  5 Ir 2.31-2.52
18 P 0.5000 0.4555 0.0761  5 Ir 2.31-2.52
19 P 0.5000 0.6205 0.5445  5 Ir 2.31-2.52
20 Ca 0.5000 0.0000 0.0000  6 P 3.00, 9 Ir 3.08-3.33
21 Ca 0.0000 0.6667 0.3333  6 P 3.02, 9 Ir 3.06-3.35


[12]
## LaPm3Al8 (PBE)

Data for LaPm3Al8 after structural relaxation.

Computed properties:
- size of the total moment (Bohr magnetons per cell) = 0.0
- distance to the lowest polymorph of the same formula (meV per atom) = 0
- ΔE_f (meV/atom) = -504
- VASP energy (eV per atom) = -4.60

a = 5.6783 Å, b = 5.6783 Å, c = 9.8537 Å
α = 73.25°, β = 73.25°, γ = 60.00°
With the nearest neighbours (Å) after each atom.
Fractional positions:
1 Pm 0.3751 0.3751 0.8748  12 Al 3.31-3.33, 4 Pm 3.48-3.50
2 Pm 0.9996 0.9996 0.0013  12 Al 3.31-3.33, 1 La 3.48, 3 Pm 3.48
3 Pm 0.5005 0.5005 0.4986  12 Al 3.33-3.35, 3 La 3.47, 1 Pm 3.50
4 La 0.8749 0.8749 0.3754  12 Al 3.33-3.35, 4 Pm 3.47-3.48
5 Al 0.1873 0.1873 0.4382  6 Al 2.86-2.87
6 Al 0.4361 0.9368 0.6902  6 Al 2.82-2.86
7 Al 0.6877 0.6877 0.9368  6 Al 2.82-2.83
8 Al 0.9368 0.9368 0.6902  6 Al 2.82-2.86
9 Al 0.4381 0.9391 0.1847  6 Al 2.83-2.87
10 Al 0.4381 0.4381 0.1847  6 Al 2.83-2.87
11 Al 0.9368 0.4361 0.6902  6 Al 2.82-2.86
12 Al 0.9391 0.4381 0.1847  6 Al 2.83-2.87